Material: HfGaNi2Te
Method: DFT, PBE
State: optimized geometry

SG = P4/mmm
uncorrected formation energy = 344 kJ/mol of formula units

Cell: 4.784 5.488 4.784 Å, 90.00 90.00 90.00°
Element x y z (fractional)
Te  0.000  0.500  0.000
Ni  0.500  0.000  0.000
Ni  0.000  0.000  0.500
Ga  0.500  0.500  0.500
Hf  0.000  0.000  0.000